Record 1
Here is an optimized crystal structure of KLi2Zr from Alexandria via LeMat-Bulk. Energies are from PBE-GGA.

Cell lengths 12.3138, 2.9309, 5.9857 Å; angles 90.00, 102.59, 90.00 degrees
With the nearest neighbours (Å) after each atom.
Space group Cm (No. 8)
Unique sites:
1 K 0.0000 0.0000 0.0000 (multiplicity 2)  2 K 2.93
2 Li 0.2558 0.5000 0.1457 (multiplicity 2)  4 Li 2.93-3.11
3 Li 0.4461 0.0000 0.4827 (multiplicity 2)  4 Li 2.93-3.11, 1 Zr 3.21
4 Zr 0.2048 0.0000 0.6059 (multiplicity 2)  2 Zr 2.93, 1 Li 3.21

=====

Record 2
Here is an optimized crystal structure of KLi2Zr from Alexandria via LeMat-Bulk. Energies are from PBE-GGA.

Cell lengths 7.5344, 7.5344, 7.5344 Å; angles 90.00, 90.00, 90.00 degrees
With the nearest neighbours (Å) after each atom.
Space group F-43m (No. 216)
Unique sites:
1 K 0.0000 0.0000 0.0000 (multiplicity 4)  4 Li 3.26, 4 Zr 3.26
2 Li 0.0000 0.0000 0.5000 (multiplicity 4)  4 Zr 3.26, 4 Li 3.26
3 Li 0.2500 0.2500 0.2500 (multiplicity 4)  4 K 3.26, 4 Li 3.26
4 Zr 0.2500 0.2500 0.7500 (multiplicity 4)  4 K 3.26, 4 Li 3.26

=====

Record 3
Here is an optimized crystal structure of K2LiZr from Alexandria via LeMat-Bulk. Energies are from PBE-GGA.

Cell lengths 3.3094, 3.3094, 12.8787 Å; angles 90.00, 90.00, 90.00 degrees
With the nearest neighbours (Å) after each atom.
Space group P4/mmm (No. 123)
Unique sites:
1 K 0.0000 0.0000 0.2480 (multiplicity 2)  4 K 3.31
2 Li 0.5000 0.5000 0.5000 (multiplicity 1)  4 Li 3.31
3 Zr 0.5000 0.5000 0.0000 (multiplicity 1)  4 Zr 3.31

=====

Record 4
Here is an optimized crystal structure of KLi2Zr from Alexandria via LeMat-Bulk. Energies are from PBE-GGA.

Cell lengths 3.0897, 5.7980, 6.3733 Å; angles 90.00, 90.00, 90.00 degrees
With the nearest neighbours (Å) after each atom.
Space group Pmmm (No. 47)
Unique sites:
1 K 0.0000 0.0000 0.0000 (multiplicity 1)  2 K 3.09, 4 Li 3.28
2 Li 0.0000 0.5000 0.5000 (multiplicity 1)  2 Li 3.09, 4 Zr 3.28
3 Li 0.5000 0.5000 0.0000 (multiplicity 1)  2 Li 3.09, 4 K 3.28
4 Zr 0.5000 0.0000 0.5000 (multiplicity 1)  2 Zr 3.09, 4 Li 3.28

=====

Record 5
Here is an optimized crystal structure of KLi2Zr from Alexandria via LeMat-Bulk. Energies are from PBE-GGA.

Cell lengths 3.4732, 5.3139, 11.8605 Å; angles 90.00, 90.00, 90.00 degrees
With the nearest neighbours (Å) after each atom.
Space group Cmmm (No. 65)
Unique sites:
1 K 0.0000 0.0000 0.0000 (multiplicity 2)  6 K 3.17-3.47
2 Li 0.0000 0.5000 0.2829 (multiplicity 4)  2 Zr 3.11, 6 Li 3.17-3.47
3 Zr 0.0000 0.0000 0.5000 (multiplicity 2)  4 Li 3.11, 6 Zr 3.17-3.47

=====

Record 6
Here is an optimized crystal structure of K2LiZr from Alexandria via LeMat-Bulk. Energies are from PBE-GGA.

Cell lengths 7.4535, 12.8592, 3.1189 Å; angles 90.00, 110.72, 90.00 degrees
With the nearest neighbours (Å) after each atom.
Space group C2/m (No. 12)
Unique sites:
1 K 0.2500 0.2500 0.0000 (multiplicity 4)  2 K 3.12
2 Li 0.0000 0.0000 0.5000 (multiplicity 2)  2 Li 3.12
3 Zr 0.0000 0.5000 0.5000 (multiplicity 2)  2 Zr 3.12

=====

Record 7
Here is an optimized crystal structure of K2LiZr from Alexandria via LeMat-Bulk. Energies are from PBE-GGA.

Cell lengths 3.1864, 4.9464, 20.1597 Å; angles 90.00, 90.00, 90.00 degrees
With the nearest neighbours (Å) after each atom.
Space group Immm (No. 71)
Unique sites:
1 K 0.0000 0.0000 0.1542 (multiplicity 4)  2 K 3.19, 2 Li 3.49
2 Li 0.0000 0.5000 0.5000 (multiplicity 2)  4 Zr 2.94, 2 Li 3.19
3 Zr 0.0000 0.5000 0.0000 (multiplicity 2)  4 Li 2.94, 2 Zr 3.19

=====

Record 8
Here is an optimized crystal structure of K2LiZr from Alexandria via LeMat-Bulk. Energies are from PBE-GGA.

Cell lengths 3.5586, 5.7248, 13.4030 Å; angles 90.00, 90.00, 90.00 degrees
With the nearest neighbours (Å) after each atom.
Space group Cmmm (No. 65)
Unique sites:
1 K 0.0000 0.0000 0.2499 (multiplicity 4)  6 K 3.37-3.56
2 Li 0.0000 0.5000 0.0000 (multiplicity 2)  6 Li 3.37-3.56
3 Zr 0.0000 0.5000 0.5000 (multiplicity 2)  6 Zr 3.37-3.56

=====

What are the magnetization values for these records? In order: 0.39; 1.60; 0.83; 0.02; 0.00; 0.90; 0.00; 0.00 μB per cell.
What are the electronic total energy values for these records? In order: -2.8380; -2.4393; -2.4744; -2.6236; -2.9536; -2.3937; -2.4835; -2.5232 eV per atom.